Record 1
This record from Alexandria via LeMat-Bulk describes a geometry-optimized Dy2Zn16Ga structure. The functional is PBE.

ΔH_f (0 K) in eV/f.u.: -4.36
Crystal system: trigonal
Mass density in g cm⁻³: 7.80

abc: 9.0063 9.0063 13.1101
angles: 90.00 90.00 120.00
Closest atoms and distances in Å follow each position.
Space group R3m (No. 160, hexagonal axes)
Symmetry-distinct sites (fractional):
Dy: 0.0000 0.0000 0.0000 x3  19 Zn 3.11-3.44
Dy: 0.0000 0.0000 0.3320 x3  1 Ga 3.06, 15 Zn 3.15-3.43
Zn: 0.0000 0.0000 0.7631 x3  1 Ga 2.59, 6 Zn 2.71-2.89
Zn: 0.9998 0.3026 0.6662 x18  8 Zn 2.58-2.74
Zn: 0.0131 0.5066 0.8199 x9  8 Zn 2.53-2.74
Zn: 0.1695 0.3391 0.4996 x9  9 Zn 2.58-2.71, 1 Ga 2.78
Zn: 0.1717 0.3434 0.8451 x9  8 Zn 2.53-2.73
Ga: 0.0000 0.0000 0.5656 x3  7 Zn 2.59-2.89

=====

Record 2
This record from Alexandria via LeMat-Bulk describes a geometry-optimized TmMn2Cr structure. The functional is PBE.

ΔH_f (0 K) in eV/f.u.: 2.10
Crystal system: trigonal
Mass density in g cm⁻³: 8.42

abc: 2.9857 2.9857 25.3414
angles: 90.00 90.00 120.00
Closest atoms and distances in Å follow each position.
Space group R-3m (No. 166, hexagonal axes)
Symmetry-distinct sites (fractional):
Tm: 0.0000 0.0000 0.0000 x3  6 Tm 2.99, 6 Mn 3.01
Mn: 0.0000 0.0000 0.2359 x6  3 Cr 2.46
Cr: 0.0000 0.0000 0.5000 x3  6 Mn 2.46

=====

Record 3
This record from Alexandria via LeMat-Bulk describes a geometry-optimized NbAuIO2 structure. The functional is PBE.

Crystal system: tetragonal
Mass density in g cm⁻³: 7.63
Raw formation energy in eV/atom: -1.05
Energy above the most stable polymorph in this dataset in eV per atom: 0.000

abc: 3.9863 3.9863 6.1485
angles: 90.00 90.00 90.00
Closest atoms and distances in Å follow each position.
Space group P4/mmm (No. 123)
Symmetry-distinct sites (fractional):
Nb: 0.0000 0.0000 0.0000 x1  4 O 1.99
Au: 0.5000 0.5000 0.5000 x1  4 I 2.82
I: 0.0000 0.0000 0.5000 x1  4 Au 2.82, 2 Nb 3.07
O: 0.0000 0.5000 0.0000 x2  2 Nb 1.99

=====

Record 4
This record from Alexandria via LeMat-Bulk describes a geometry-optimized Ta2ReBr structure. The functional is PBE.

Crystal system: orthorhombic
Mass density in g cm⁻³: 14.26
Raw formation energy in eV/atom: 0.34
Energy above the most stable polymorph in this dataset in eV per atom: 0.166

abc: 3.1915 5.0603 9.0589
angles: 90.00 90.00 90.00
Closest atoms and distances in Å follow each position.
Space group Cmmm (No. 65)
Symmetry-distinct sites (fractional):
Ta: 0.0000 0.0000 0.2337 x4  2 Re 2.65, 2 Br 2.89
Re: 0.0000 0.5000 0.0000 x2  4 Ta 2.65
Br: 0.0000 0.5000 0.5000 x2  4 Ta 2.89, 6 Br 2.99-3.19

=====

Record 5
This record from Alexandria via LeMat-Bulk describes a geometry-optimized SmZrZn17 structure. The functional is PBE.

ΔH_f (0 K) in eV/f.u.: -3.54
Crystal system: trigonal
Mass density in g cm⁻³: 7.48

abc: 8.9189 8.9189 13.0824
angles: 90.00 90.00 120.00
Closest atoms and distances in Å follow each position.
Space group R3m (No. 160, hexagonal axes)
Symmetry-distinct sites (fractional):
Sm: 0.0000 0.0000 0.0000 x3  19 Zn 3.15-3.41
Zr: 0.0000 0.0000 0.3335 x3  13 Zn 2.96-3.21
Zn: 0.0000 0.0000 0.5599 x3  7 Zn 2.61-2.76
Zn: 0.0000 0.0000 0.7596 x3  4 Zn 2.61-2.69
Zn: 0.0362 0.3662 0.3317 x18  8 Zn 2.57-2.77
Zn: 0.1673 0.3346 0.1481 x9  9 Zn 2.53-2.76
Zn: 0.1710 0.3420 0.5002 x9  10 Zn 2.57-2.75
Zn: 0.1781 0.3563 0.8462 x9  8 Zn 2.53-2.77

=====

Record 6
This record from Alexandria via LeMat-Bulk describes a geometry-optimized MgB2S structure. The functional is PBE.

Crystal system: monoclinic
Mass density in g cm⁻³: 2.31
Raw formation energy in eV/atom: -0.38
Energy above the most stable polymorph in this dataset in eV per atom: 0.004

abc: 8.1138 3.3137 8.6169
angles: 90.00 104.10 90.00
Closest atoms and distances in Å follow each position.
Space group Cm (No. 8)
Symmetry-distinct sites (fractional):
Mg: 0.0000 0.0000 0.0000 x2  5 S 2.47-2.61
Mg: 0.1198 0.0000 0.6490 x2  2 S 2.49, 4 B 2.50-2.51
B: 0.2361 0.5000 0.3248 x2  4 B 1.75-1.83, 1 S 1.89
B: 0.3303 0.0000 0.3238 x2  4 B 1.75-1.83, 1 S 1.88
B: 0.3315 0.2500 0.5030 x4  4 B 1.66-1.75
S: 0.0045 0.5000 0.2141 x2  2 B 1.88-1.89
S: 0.1730 0.5000 0.8720 x2  5 Mg 2.49-2.61